# 1
PuMg2Tl | PBE | optimized geometry

Structure (extended XYZ):
```
4
Lattice="4.602 0.000 0.000 0.000 4.602 0.000 0.000 0.000 4.883" Properties=species:S:1:pos:R:3 pbc="T T T"
Pu 0.000 0.000 0.000
Mg 0.000 2.301 2.442
Mg 2.301 0.000 2.442
Tl 2.301 2.301 0.000
```

Calculated values
space group = No. 123
polymorph energy (0 for the lowest one) = 34 meV/atom
volume = 103.4 Å³ per cell
density of states at the Fermi level = 3.400 states/eV/atom
theoretical density = 8.0 g/cm³
final energy = -19.640 eV per cell
formation energy = 61.8 meV/atom

---

# 2
BeAg2Te | PBE | optimized geometry

Structure (extended XYZ):
```
8
Lattice="-1.981 1.981 9.988 1.981 -1.981 9.988 1.981 1.981 -9.988" Properties=species:S:1:pos:R:3 pbc="T T T"
Be 0.000 0.000 0.000
Be 0.000 1.981 4.994
Ag 2.971 0.933 -2.497
Ag 0.933 0.990 2.497
Ag -0.990 1.048 7.491
Ag 1.048 0.990 12.485
Te 1.981 0.000 4.994
Te 0.000 0.000 9.988
```

Calculated values
space group = No. 122
polymorph energy (0 for the lowest one) = 208 meV/atom
volume = 156.8 Å³ per cell
density of states at the Fermi level = 0.409 states/eV/atom
theoretical density = 7.5 g/cm³
final energy = -22.370 eV per cell
formation energy from raw total energies = 0.346 eV per atom

---

# 3
V3CrFe2 | PBE | optimized geometry

Structure (extended XYZ):
```
12
Lattice="2.038 -6.106 0.000 2.038 6.106 0.000 0.000 0.000 5.754" Properties=species:S:1:pos:R:3 pbc="T T T"
V 0.000 0.000 1.433
V 0.000 0.000 4.321
V 2.038 2.046 1.428
V 2.038 2.046 4.325
V 2.038 -2.046 1.428
V 2.038 -2.046 4.325
Cr 2.038 4.091 0.000
Cr 2.038 -4.091 0.000
Fe 2.038 4.075 2.877
Fe 2.038 0.000 0.000
Fe 2.038 0.000 2.877
Fe 2.038 -4.075 2.877
```

Calculated values
space group = No. 65
polymorph energy (0 for the lowest one) = 0 meV/atom
volume = 143.2 Å³ per cell
density of states at the Fermi level = 0.788 states/eV/atom
theoretical density = 7.3 g/cm³
final energy = -109.644 eV per cell
formation energy = -152.9 meV/atom

---

# 4
YTe2 | PBE | optimized geometry

Structure (extended XYZ):
```
6
Lattice="5.519 -2.123 0.000 5.519 2.123 0.000 -1.468 0.000 8.584" Properties=species:S:1:pos:R:3 pbc="T T T"
Y 0.000 0.000 0.000
Y 1.466 0.000 5.594
Te 3.174 0.000 0.029
Te 4.674 0.000 6.246
Te 5.705 0.000 2.249
Te 8.110 0.000 3.715
```

Calculated values
space group = No. 8
volume = 201.2 Å³ per cell
theoretical density = 5.7 g/cm³
final energy = -32.111 eV per cell
formation energy from raw total energies = -1.103 eV per atom

---

# 5
ReIr2Ru4Rh | PBE | optimized geometry

Structure (extended XYZ):
```
8
Lattice="6.230 0.000 0.000 0.000 3.485 0.000 -1.984 0.000 6.073" Properties=species:S:1:pos:R:3 pbc="T T T"
Re 0.000 0.000 0.000
Ir 2.123 0.000 3.036
Ir 3.115 1.742 0.000
Ru 1.052 1.742 1.478
Ru 0.080 0.000 4.598
Ru 4.166 0.000 1.474
Ru 3.194 1.742 4.595
Rh -0.992 1.742 3.036
```

Calculated values
space group = No. 10
volume = 131.8 Å³ per cell
density of states at the Fermi level = 1.737 states/eV/atom
theoretical density = 13.6 g/cm³
final energy = -66.105 eV per cell
formation energy = 1064.9 meV/atom

---

# 6
CaSc2Bi2 | PBE | optimized geometry

Structure (extended XYZ):
```
5
Lattice="-2.296 2.296 7.183 2.296 -2.296 7.183 2.296 2.296 -7.183" Properties=species:S:1:pos:R:3 pbc="T T T"
Ca 0.000 0.000 0.000
Sc 2.296 0.000 3.591
Sc 0.000 2.296 3.591
Bi 0.000 0.000 5.509
Bi 0.000 0.000 8.856
```

Calculated values
space group = No. 139
polymorph energy (0 for the lowest one) = 56 meV/atom
volume = 151.5 Å³ per cell
density of states at the Fermi level = 0.850 states/eV/atom
theoretical density = 6.0 g/cm³
final energy = -24.930 eV per cell
formation energy = -500.7 meV/atom